# LiWI3 (GGA-PBE, relaxed)
data_LiWI3
_symmetry_space_group_name_H-M 'P m -3 m'
_symmetry_Int_Tables_number 221
_symmetry_space_group_name_Hall '-P 4 2 3'
_cell_length_a 5.746
_cell_length_b 5.746
_cell_length_c 5.746
_cell_angle_alpha 90.00
_cell_angle_beta 90.00
_cell_angle_gamma 90.00
loop_
_atom_site_label
_atom_site_type_symbol
_atom_site_fract_x
_atom_site_fract_y
_atom_site_fract_z
Li1 Li 0.000 0.000 0.000
W1 W 0.500 0.500 0.500
I1 I 0.000 0.500 0.500
# Calculated density (g/cm³): 5.00
# VASP energy (eV/atom): -3.6053
# Total magnetization (Bohr magnetons per cell): 4.0
# Formation energy without anion corrections (eV/atom): 0.2981